Computed, not measured: a relaxed Ce2SiRh crystal at the PBE-GGA level of DFT.

Uncorrected energy: -27.478 eV/f.u.
Magnetic moment: 1.00 μB per formula unit
Space-group type: P2_1/m (11)
Mass density: 7555 kg/m³

a = 5.810 Å, b = 4.041 Å, c = 8.099 Å
α = 90.00°, β = 108.09°, γ = 90.00°
Element x y z (fractional)
Ce (0.204, 0.250, 0.414)
Ce (0.285, 0.750, 0.067)
Ce (0.715, 0.250, 0.933)
Ce (0.796, 0.750, 0.586)
Si (0.352, 0.750, 0.709)
Si (0.648, 0.250, 0.291)
Rh (0.132, 0.250, 0.794)
Rh (0.868, 0.750, 0.206)

Computed, not measured: a relaxed Tc2OsW crystal at the PBE-GGA level of DFT.

Uncorrected energy: -44.507 eV/f.u.
Magnetic moment: 0.00 μB per formula unit
ΔH_f (0 K): 0.41 eV per formula unit
Space-group type: P4mm (99)
E above lowest polymorph: 42 meV/atom
Mass density: 15803 kg/m³

a = 2.768 Å, b = 2.768 Å, c = 7.817 Å
α = 90.00°, β = 90.00°, γ = 90.00°
Element x y z (fractional)
Tc (0.000, 0.000, 0.000)
Tc (0.500, 0.500, 0.245)
Os (0.500, 0.500, 0.757)
W (0.000, 0.000, 0.506)

Computed, not measured: a relaxed Tb3NpRu8 crystal at the PBE-GGA level of DFT.

Uncorrected energy: -103.443 eV/f.u.
Magnetic moment: 2.17 μB per formula unit
ΔH_f (0 K): -2.40 eV per formula unit
Space-group type: R3m (160)
Mass density: 11775 kg/m³

a = 9.258 Å, b = 9.258 Å, c = 9.258 Å
α = 33.45°, β = 33.45°, γ = 33.45°
Element x y z (fractional)
Tb (0.000, 0.000, 0.000)
Tb (0.125, 0.125, 0.125)
Tb (0.625, 0.625, 0.625)
Np (0.500, 0.500, 0.500)
Ru (0.062, 0.062, 0.561)
Ru (0.062, 0.561, 0.062)
Ru (0.065, 0.562, 0.562)
Ru (0.312, 0.312, 0.312)
Ru (0.561, 0.062, 0.062)
Ru (0.562, 0.065, 0.562)
Ru (0.562, 0.562, 0.065)
Ru (0.812, 0.812, 0.812)

Computed, not measured: a relaxed LaPaS2O crystal at the PBE-GGA level of DFT.

Uncorrected energy: -39.554 eV/f.u.
Magnetic moment: 0.40 μB per formula unit
Space-group type: P4/nmm (129)
Mass density: 6997 kg/m³

a = 3.947 Å, b = 3.947 Å, c = 13.711 Å
α = 90.00°, β = 90.00°, γ = 90.00°
Element x y z (fractional)
La (0.250, 0.250, 0.094)
La (0.750, 0.750, 0.906)
Pa (0.250, 0.250, 0.604)
Pa (0.750, 0.750, 0.396)
S (0.250, 0.250, 0.395)
S (0.250, 0.250, 0.792)
S (0.750, 0.750, 0.208)
S (0.750, 0.750, 0.605)
O (0.250, 0.750, 0.000)
O (0.750, 0.250, 0.000)

Computed, not measured: a relaxed Rb2SrPI6 crystal at the PBE-GGA level of DFT.

Uncorrected energy: -27.265 eV/f.u.
Magnetic moment: 1.00 μB per formula unit
Space-group type: I4/mmm (139)
Mass density: 3734 kg/m³

a = 8.659 Å, b = 8.659 Å, c = 8.659 Å
α = 118.73°, β = 118.73°, γ = 92.21°
Element x y z (fractional)
Rb (0.250, 0.750, 0.500)
Rb (0.750, 0.250, 0.500)
Sr (0.000, 0.000, 0.000)
P (0.500, 0.500, 0.000)
I (0.258, 0.258, 0.517)
I (0.258, 0.742, 0.000)
I (0.271, 0.271, 0.000)
I (0.729, 0.729, 0.000)
I (0.742, 0.258, 0.000)
I (0.742, 0.742, 0.483)

Computed, not measured: a relaxed Pm8DyTm6 crystal at the PBE-GGA level of DFT.

Uncorrected energy: -66.737 eV/f.u.
Magnetic moment: 0.00 μB per formula unit
ΔH_f (0 K): 2.70 eV per formula unit
Space-group type: P-3 (147)
E above lowest polymorph: 50 meV/atom
Mass density: 7851 kg/m³

a = 9.373 Å, b = 9.373 Å, c = 6.495 Å
α = 90.00°, β = 90.00°, γ = 120.00°
Element x y z (fractional)
Pm (0.038, 0.751, 0.168)
Pm (0.249, 0.287, 0.168)
Pm (0.287, 0.038, 0.832)
Pm (0.333, 0.667, 0.122)
Pm (0.667, 0.333, 0.878)
Pm (0.713, 0.962, 0.168)
Pm (0.751, 0.713, 0.832)
Pm (0.962, 0.249, 0.832)
Dy (0.000, 0.000, 0.500)
Tm (0.096, 0.656, 0.659)
Tm (0.344, 0.440, 0.659)
Tm (0.440, 0.096, 0.341)
Tm (0.560, 0.904, 0.659)
Tm (0.656, 0.560, 0.341)
Tm (0.904, 0.344, 0.341)

Computed, not measured: a relaxed Pr6Os2I3N crystal at the PBE-GGA level of DFT.

Uncorrected energy: -72.832 eV/f.u.
Magnetic moment: 0.00 μB per formula unit
Space-group type: C2/m (12)
Mass density: 7561 kg/m³

a = 7.118 Å, b = 7.118 Å, c = 8.440 Å
α = 98.11°, β = 98.11°, γ = 119.84°
Element x y z (fractional)
Pr (0.059, 0.371, 0.178)
Pr (0.254, 0.254, 0.821)
Pr (0.371, 0.059, 0.178)
Pr (0.629, 0.941, 0.822)
Pr (0.746, 0.746, 0.179)
Pr (0.941, 0.629, 0.822)
Os (0.333, 0.667, 0.000)
Os (0.667, 0.333, 0.000)
I (0.170, 0.830, 0.500)
I (0.500, 0.500, 0.500)
I (0.830, 0.170, 0.500)
N (0.000, 0.000, 0.000)

Computed, not measured: a relaxed NaSrCd2Hg4 crystal at the PBE-GGA level of DFT.

Uncorrected energy: -8.256 eV/f.u.
Magnetic moment: 0.00 μB per formula unit
ΔH_f (0 K): -2.22 eV per formula unit
Space-group type: R-3m (166)
Mass density: 9071 kg/m³

a = 9.674 Å, b = 9.674 Å, c = 9.674 Å
α = 30.62°, β = 30.62°, γ = 30.62°
Element x y z (fractional)
Na (0.000, 0.000, 0.000)
Sr (0.500, 0.500, 0.500)
Cd (0.258, 0.258, 0.258)
Cd (0.742, 0.742, 0.742)
Hg (0.114, 0.114, 0.114)
Hg (0.372, 0.372, 0.372)
Hg (0.628, 0.628, 0.628)
Hg (0.886, 0.886, 0.886)